# SrLiCa (PBE, optimized geometry)
# **Energy of formation**: 56 meV/atom
# **N(E_F)**: 12.81 states/eV per cell
# **M_tot**: 0.000 μB per cell
data_SrLiCa
_symmetry_space_group_name_H-M 'I m m m'
_symmetry_Int_Tables_number 71
_symmetry_space_group_name_Hall '-I 2 2'
_cell_length_a 4.264
_cell_length_b 7.580
_cell_length_c 15.011
_cell_angle_alpha 90.00
_cell_angle_beta 90.00
_cell_angle_gamma 90.00
loop_
_atom_site_label
_atom_site_type_symbol
_atom_site_fract_x
_atom_site_fract_y
_atom_site_fract_z
_atom_site_occupancy
Sr1 Sr 0.000 0.000 0.203 1
Li1 Li 0.000 0.500 0.112 1
Ca1 Ca 0.000 0.254 0.500 1